[1]
! PBE FeCoP3, optimized geometry; values from VASP
! Raw total energy = -27.75 eV for the cell shown
! Density of states at the Fermi level = 5.09 states/eV/f.u.
! Distance to the lowest polymorph of the same formula = 0 meV/atom
! Formation enthalpy at 0 K = 4.0 eV/f.u.
&SYSTEM
  ibrav = 0, nat = 5, ntyp = 3
/
ATOMIC_SPECIES
Fe 55.84 Fe.upf
P 30.97 P.upf
Co 58.93 Co.upf
ATOMIC_POSITIONS crystal
Fe 0.000 0.000 0.000
P 0.000 0.500 0.000
P 0.000 0.000 0.500
P 0.500 0.000 0.000
Co 0.500 0.500 0.500
CELL_PARAMETERS angstrom
-4.244 0.490 -0.118
-0.189 -2.480 -3.475
-0.467 -3.445 2.485

=====

[2]
! PBE Li6Ge2Au, optimized geometry; values from VASP
! Raw total energy = -26.97 eV for the cell shown
! Density of states at the Fermi level = 3.07 states/eV/f.u.
! Distance to the lowest polymorph of the same formula = 23 meV/atom
! Formation enthalpy at 0 K = -3.0 eV/f.u.
&SYSTEM
  ibrav = 0, nat = 9, ntyp = 3
/
ATOMIC_SPECIES
Li 6.94 Li.upf
Au 196.97 Au.upf
Ge 72.64 Ge.upf
ATOMIC_POSITIONS crystal
Li 0.387 0.387 0.237
Li 0.315 0.315 0.592
Au 0.000 0.000 0.500
Li 0.613 0.613 0.763
Li 0.685 0.685 0.408
Li 0.051 0.051 0.164
Li 0.949 0.949 0.836
Ge 0.730 0.730 0.094
Ge 0.270 0.270 0.906
CELL_PARAMETERS angstrom
4.679 0.399 0.299
2.399 4.037 0.299
-0.206 -0.129 8.107

=====

- Among the records above, which one has the highest raw total energy?
  Li6Ge2Au

=====

- What is the formula in the first record?
  FeCoP3

=====

- Look up the raw total energy of the second one.
  -26.97 eV for the cell shown